(i)
Below is crystalline ZnPCl2F at its relaxed geometry, with properties calculated at the PBE level.

Values from the calculation:
**Density**: 2925 kg/m3

Cell and atoms, written as POSCAR:
```
ZnPCl2F
1.0
-1.548 -2.020 -4.781
-4.160 -2.500 2.403
-2.066 2.902 -0.557
Cl Zn F P
2 1 1 1
direct
0.500 0.000 0.000 Cl
0.000 0.500 0.000 Cl
0.500 0.500 0.500 Zn
0.000 0.000 0.000 F
0.000 0.000 0.500 P
```



(ii)
Below is crystalline ZnPCl2F at its relaxed geometry, with properties calculated at the PBE level.

Values from the calculation:
**Density**: 2880 kg/m3

Cell and atoms, written as POSCAR:
```
ZnPCl2F
1.0
-3.506 -0.935 2.916
3.061 -0.984 3.366
-0.063 4.742 1.444
P Zn Cl F
1 1 2 1
direct
0.000 0.000 0.500 P
0.000 0.000 0.000 Zn
0.500 0.000 0.000 Cl
0.000 0.500 0.000 Cl
0.500 0.500 0.500 F
```



(i) is the most stable structure; the next one sits 0.053 eV/atom above it.